Record 1
# NaPb3Au2

An optimized crystal structure of NaPb3Au2 (PBE-GGA, Alexandria via LeMat-Bulk).

Lattice parameters (Å, degrees): 8.8315 8.8315 9.1177 114.48 114.48 30.53
Element x y z (fractional)
1 Na 0.1146 0.1146 0.1257
2 Na 0.8854 0.8854 0.8743
3 Pb 0.0320 0.0320 0.6860
4 Pb 0.3116 0.3116 0.1279
5 Pb 0.3413 0.3413 0.5430
6 Pb 0.6587 0.6587 0.4570
7 Pb 0.6884 0.6884 0.8721
8 Pb 0.9680 0.9680 0.3140
9 Au 0.2150 0.2150 0.6847
10 Au 0.4906 0.4906 0.1419
11 Au 0.5094 0.5094 0.8581
12 Au 0.7850 0.7850 0.3153

Density of states at the Fermi level = 0.45 states/eV/atom
DFT formation energy = -0.8 eV/f.u.

=====

Record 2
# PmSm2Tm4Sc

An optimized crystal structure of PmSm2Tm4Sc (PBE-GGA, Alexandria via LeMat-Bulk).

Lattice parameters (Å, degrees): 9.3677 9.3677 9.3677 138.03 103.25 91.56
Element x y z (fractional)
1 Pm 0.0000 0.0000 0.0000
2 Pm 0.5000 0.0000 0.5000
3 Sm 0.0000 0.5000 0.5000
4 Sm 0.5000 0.0000 0.0000
5 Sm 0.5000 0.5000 0.0000
6 Sm 0.5000 0.5000 0.5000
7 Tm 0.2351 0.2500 0.9851
8 Tm 0.2351 0.7500 0.4851
9 Tm 0.2372 0.2371 0.5000
10 Tm 0.2372 0.7372 0.0000
11 Tm 0.7628 0.2628 0.0000
12 Tm 0.7628 0.7629 0.5000
13 Tm 0.7649 0.2500 0.5149
14 Tm 0.7649 0.7500 0.0149
15 Sc 0.0000 0.0000 0.5000
16 Sc 0.0000 0.5000 0.0000

Density of states at the Fermi level = 2.27 states/eV/atom
DFT formation energy = 3.4 eV/f.u.

=====

Record 3
# Tm4GePtSe2

An optimized crystal structure of Tm4GePtSe2 (PBE-GGA, Alexandria via LeMat-Bulk).

Lattice parameters (Å, degrees): 6.9087 4.0402 7.2546 90.00 108.98 90.00
Element x y z (fractional)
1 Tm 0.2391 0.0000 0.2332
2 Tm 0.2535 0.5000 0.7624
3 Tm 0.7465 0.5000 0.2376
4 Tm 0.7609 0.0000 0.7668
5 Ge 0.5000 0.0000 0.0000
6 Pt 0.0000 0.5000 0.0000
7 Se 0.0000 0.0000 0.5000
8 Se 0.5000 0.5000 0.5000

Density of states at the Fermi level = 0.66 states/eV/atom
Energy = -46.5 eV/cell

=====

Record 4
# Pm6Ru2SI3

An optimized crystal structure of Pm6Ru2SI3 (PBE-GGA, Alexandria via LeMat-Bulk).

Lattice parameters (Å, degrees): 7.2415 7.2415 8.3342 98.31 98.31 119.97
Element x y z (fractional)
1 Pm 0.0917 0.4389 0.8140
2 Pm 0.2143 0.2143 0.1855
3 Pm 0.4389 0.0917 0.8140
4 Pm 0.5611 0.9083 0.1860
5 Pm 0.7857 0.7857 0.8145
6 Pm 0.9083 0.5611 0.1860
7 Ru 0.1670 0.8330 0.0000
8 Ru 0.8330 0.1670 0.0000
9 S 0.5000 0.5000 0.0000
10 I 0.0000 0.0000 0.5000
11 I 0.3350 0.6650 0.5000
12 I 0.6650 0.3350 0.5000

Density of states at the Fermi level = 0.81 states/eV/atom
Energy = -67.2 eV/cell

=====

Record 5
# Y6PtSe3S2

An optimized crystal structure of Y6PtSe3S2 (PBE-GGA, Alexandria via LeMat-Bulk).

Lattice parameters (Å, degrees): 9.1098 9.1098 8.2204 103.43 103.43 25.22
Element x y z (fractional)
1 Y 0.0031 0.0031 0.2393
2 Y 0.3293 0.3293 0.4280
3 Y 0.3357 0.3357 0.9052
4 Y 0.6643 0.6643 0.0948
5 Y 0.6707 0.6707 0.5720
6 Y 0.9969 0.9969 0.7607
7 Pt 0.5000 0.5000 0.0000
8 Se 0.1687 0.1687 0.8308
9 Se 0.5000 0.5000 0.5000
10 Se 0.8313 0.8313 0.1692
11 S 0.1685 0.1685 0.3366
12 S 0.8315 0.8315 0.6634

Density of states at the Fermi level = 0.41 states/eV/atom
Energy = -84.7 eV/cell

=====

Record 6
# Cs2ZnAuI

An optimized crystal structure of Cs2ZnAuI (PBE-GGA, Alexandria via LeMat-Bulk).

Lattice parameters (Å, degrees): 6.8565 6.8565 5.0742 90.00 90.00 90.00
Element x y z (fractional)
1 Cs 0.0000 0.5000 0.0000
2 Cs 0.5000 0.0000 0.0000
3 Zn 0.0000 0.0000 0.5000
4 Au 0.0000 0.0000 0.0000
5 I 0.5000 0.5000 0.5000

Density of states at the Fermi level = 0.30 states/eV/atom
Energy = -11.0 eV/cell

=====

Record 7
# NaH2F3

An optimized crystal structure of NaH2F3 (PBE-GGA, Alexandria via LeMat-Bulk).

Lattice parameters (Å, degrees): 4.9052 3.1882 8.1600 90.00 102.31 90.00
Element x y z (fractional)
1 Na 0.2342 0.2500 0.3701
2 Na 0.7658 0.7500 0.6299
3 H 0.2220 0.2500 0.7006
4 H 0.2582 0.2500 0.9783
5 H 0.7418 0.7500 0.0217
6 H 0.7780 0.7500 0.2994
7 F 0.1067 0.2500 0.7846
8 F 0.2821 0.7500 0.5719
9 F 0.3285 0.2500 0.0979
10 F 0.6715 0.7500 0.9021
11 F 0.7179 0.2500 0.4281
12 F 0.8933 0.7500 0.2154

Density of states at the Fermi level = 0.00 states/eV/atom
Energy = -50.1 eV/cell

=====

Record 8
# LaTlFe2

An optimized crystal structure of LaTlFe2 (PBE-GGA, Alexandria via LeMat-Bulk).

Lattice parameters (Å, degrees): 4.4549 4.4549 8.5211 90.00 90.00 90.00
Element x y z (fractional)
1 La 0.0000 0.0000 0.0000
2 La 0.5000 0.5000 0.5000
3 Tl 0.0000 0.5000 0.7500
4 Tl 0.5000 0.0000 0.2500
5 Fe 0.0000 0.0000 0.5000
6 Fe 0.0000 0.5000 0.2500
7 Fe 0.5000 0.0000 0.7500
8 Fe 0.5000 0.5000 0.0000

Density of states at the Fermi level = 1.42 states/eV/atom
DFT formation energy = 1.9 eV/f.u.

=====

Record 9
# TlZn2Re

An optimized crystal structure of TlZn2Re (PBE-GGA, Alexandria via LeMat-Bulk).

Lattice parameters (Å, degrees): 3.4839 4.4337 9.4431 90.00 90.00 90.00
Element x y z (fractional)
1 Tl 0.0000 0.0000 0.0000
2 Tl 0.5000 0.5000 0.0000
3 Zn 0.0000 0.0000 0.5172
4 Zn 0.0000 0.5000 0.3026
5 Zn 0.5000 0.0000 0.3026
6 Zn 0.5000 0.5000 0.5172
7 Re 0.0000 0.5000 0.7260
8 Re 0.5000 0.0000 0.7260

Density of states at the Fermi level = 0.46 states/eV/atom
DFT formation energy = 2.4 eV/f.u.

=====

Record 10
# CsSI2

An optimized crystal structure of CsSI2 (PBE-GGA, Alexandria via LeMat-Bulk).

Lattice parameters (Å, degrees): 6.5640 6.5640 22.7051 90.00 90.00 120.00
Element x y z (fractional)
1 Cs 0.0000 0.0000 0.0000
2 Cs 0.3333 0.6667 0.6667
3 Cs 0.6667 0.3333 0.3333
4 S 0.0000 0.0000 0.5000
5 S 0.3333 0.6667 0.1667
6 S 0.6667 0.3333 0.8333
7 I 0.0000 0.0000 0.3843
8 I 0.0000 0.0000 0.6157
9 I 0.3333 0.6667 0.0509
10 I 0.3333 0.6667 0.2824
11 I 0.6667 0.3333 0.7176
12 I 0.6667 0.3333 0.9491

Density of states at the Fermi level = 1.32 states/eV/atom
Energy = -29.0 eV/cell

=====

Record 11
# Pm3Dy6Er2Th

An optimized crystal structure of Pm3Dy6Er2Th (PBE-GGA, Alexandria via LeMat-Bulk).

Lattice parameters (Å, degrees): 6.1793 6.1793 11.8193 95.01 95.01 119.97
Element x y z (fractional)
1 Pm 0.0000 0.0000 0.0000
2 Pm 0.3330 0.6670 0.0000
3 Pm 0.6670 0.3330 0.0000
4 Dy 0.0870 0.4173 0.2535
5 Dy 0.2524 0.2524 0.7465
6 Dy 0.4173 0.0870 0.2535
7 Dy 0.5827 0.9130 0.7465
8 Dy 0.7476 0.7476 0.2535
9 Dy 0.9130 0.5827 0.7465
10 Er 0.1668 0.8332 0.5000
11 Er 0.8332 0.1668 0.5000
12 Th 0.5000 0.5000 0.5000

Density of states at the Fermi level = 1.30 states/eV/atom
DFT formation energy = 0.2 eV/f.u.

=====

Record 12
# Zn2GePt2

An optimized crystal structure of Zn2GePt2 (PBE-GGA, Alexandria via LeMat-Bulk).

Lattice parameters (Å, degrees): 3.4899 3.4899 13.3145 90.00 90.00 90.00
Element x y z (fractional)
1 Zn 0.0000 0.5000 0.2500
2 Zn 0.0000 0.5000 0.7500
3 Zn 0.5000 0.0000 0.2500
4 Zn 0.5000 0.0000 0.7500
5 Ge 0.0000 0.0000 0.0000
6 Ge 0.5000 0.5000 0.5000
7 Pt 0.0000 0.0000 0.3985
8 Pt 0.0000 0.0000 0.6015
9 Pt 0.5000 0.5000 0.1015
10 Pt 0.5000 0.5000 0.8985

Density of states at the Fermi level = 0.36 states/eV/atom
DFT formation energy = -1.3 eV/f.u.

=====

Q: Which formula does entry 8 have?
A: LaTlFe2

=====

Q: Among the records above, which one has the highest density of states at the Fermi level?
A: PmSm2Tm4Sc